No. 1
Np3Pa5N12, relaxed, DFT GGA-PBE; volume = 342.07 Å³/f.u.; ΔE_f (raw) = -1.14 eV/atom; energy = -10.45 eV/atom; space-group type = Ia-3d, No. 230; total magnetization = 37.148 μB/cell
1.0
12.113 0.000 0.000
-4.038 11.421 0.000
-4.038 -5.710 9.891
Np Pa N
12 20 48
Direct
0.750 0.375 0.125
0.875 0.750 0.125
0.375 0.750 0.625
0.250 0.125 0.375
0.875 0.125 0.250
0.375 0.625 0.250
0.625 0.375 0.750
0.125 0.875 0.750
0.750 0.875 0.625
0.625 0.250 0.375
0.125 0.250 0.875
0.250 0.625 0.875
0.125 0.375 0.250
0.000 0.500 0.000
0.000 0.000 0.000
0.375 0.250 0.125
0.500 0.000 0.500
0.500 0.500 0.000
0.125 0.750 0.375
0.750 0.125 0.875
0.750 0.625 0.375
0.375 0.125 0.750
0.625 0.875 0.250
0.500 0.500 0.500
0.500 0.000 0.000
0.000 0.000 0.500
0.250 0.375 0.625
0.250 0.875 0.125
0.000 0.500 0.500
0.875 0.250 0.625
0.625 0.750 0.875
0.875 0.625 0.750
0.692 0.153 0.027
0.335 0.527 0.374
0.973 0.347 0.308
0.527 0.192 0.153
0.539 0.692 0.665
0.973 0.626 0.165
0.335 0.808 0.461
0.126 0.961 0.153
0.626 0.973 0.665
0.692 0.539 0.165
0.808 0.473 0.347
0.835 0.874 0.027
0.153 0.692 0.527
0.347 0.374 0.039
0.039 0.874 0.347
0.461 0.153 0.626
0.039 0.165 0.192
0.473 0.665 0.126
0.835 0.961 0.308
0.153 0.461 0.126
0.347 0.973 0.808
0.626 0.653 0.461
0.874 0.835 0.527
0.808 0.335 0.961
0.374 0.347 0.539
0.126 0.165 0.473
0.192 0.665 0.039
0.165 0.039 0.692
0.653 0.027 0.192
0.847 0.539 0.874
0.527 0.335 0.874
0.539 0.847 0.374
0.961 0.835 0.808
0.961 0.126 0.653
0.847 0.308 0.473
0.165 0.126 0.973
0.653 0.626 0.961
0.374 0.027 0.335
0.308 0.461 0.835
0.192 0.527 0.653
0.874 0.039 0.847
0.665 0.192 0.539
0.473 0.808 0.847
0.027 0.374 0.835
0.461 0.308 0.335
0.027 0.653 0.692
0.665 0.473 0.626
0.308 0.847 0.973

=====

No. 2
YBeIO2, relaxed, DFT GGA-PBE; volume = 76.08 Å³/f.u.; ΔE_f (raw) = -0.91 eV/atom; polymorph energy (0 for the lowest one) = 0.000 eV per atom; energy = -5.24 eV/atom; space-group type = P4/mmm, No. 123; total magnetization = 0.000 μB/cell
1.0
4.095 0.000 0.000
0.000 4.095 0.000
0.000 0.000 4.538
I Y O Be
1 1 2 1
Direct
0.000 0.000 0.500
0.500 0.500 0.500
0.000 0.500 0.000
0.500 0.000 0.000
0.000 0.000 0.000

=====

No. 3
Y2Ho9Th, relaxed, DFT GGA-PBE; calculated formation energy = 29 meV/atom; volume = 376.12 Å³/f.u.; energy = -5.10 eV/atom; space-group type = P4/mmm, No. 123; total magnetization = 0.000 μB/cell
1.0
-1.029 -1.068 4.784
-3.867 -2.828 -1.463
9.017 -11.953 -0.731
Y Ho Th
2 9 1
Direct
0.000 0.000 0.333
0.000 0.000 0.667
0.500 0.500 0.000
0.500 0.500 0.335
0.500 0.500 0.665
0.500 0.000 0.165
0.500 0.000 0.500
0.500 0.000 0.835
0.000 0.500 0.165
0.000 0.500 0.500
0.000 0.500 0.835
0.000 0.000 0.000